Record 1
! Nd2Ho2CBr5 (PBE-GGA, optimized geometry); values from VASP
&SYSTEM
  ibrav = 0, nat = 10, ntyp = 4
/
ATOMIC_SPECIES
Br 79.90 Br.upf
Ho 164.93 Ho.upf
Nd 144.24 Nd.upf
C 12.01 C.upf
ATOMIC_POSITIONS crystal
Br 0.5000 0.5000 0.5000
Br 0.8319 0.8319 0.6759
Br 0.8258 0.8258 0.1533
Br 0.1681 0.1681 0.3241
Br 0.1742 0.1742 0.8467
Ho 0.6364 0.6364 0.0704
Ho 0.3636 0.3636 0.9296
Nd 0.9985 0.9985 0.2057
Nd 0.0015 0.0015 0.7943
C 0.5000 0.5000 0.0000
CELL_PARAMETERS angstrom
9.0075 -1.9497 0.0000
9.0075 1.9497 0.0000
-1.8627 0.0000 8.2139
! crystal system: monoclinic
! energy relative to the lowest polymorph listed for this composition: 0.000 eV per atom

Record 2
! Pr2Ho2CBr5 (PBE-GGA, optimized geometry); values from VASP
&SYSTEM
  ibrav = 0, nat = 10, ntyp = 4
/
ATOMIC_SPECIES
Pr 140.91 Pr.upf
Ho 164.93 Ho.upf
Br 79.90 Br.upf
C 12.01 C.upf
ATOMIC_POSITIONS crystal
Pr 0.3549 0.3549 0.9229
Pr 0.6451 0.6451 0.0771
Ho 0.0004 0.0004 0.7999
Ho 0.9996 0.9996 0.2001
Br 0.8354 0.8354 0.1930
Br 0.1594 0.1594 0.3593
Br 0.8406 0.8406 0.6407
Br 0.5000 0.5000 0.5000
Br 0.1646 0.1646 0.8070
C 0.5000 0.5000 0.0000
CELL_PARAMETERS angstrom
-9.2075 -0.3779 -0.3294
-8.2084 -3.6160 -2.1395
1.7959 -3.4733 7.2049
! crystal system: monoclinic
! energy relative to the lowest polymorph listed for this composition: 0.006 eV per atom

Record 3
! Pr2Ho2CBr5 (PBE-GGA, optimized geometry); values from VASP
&SYSTEM
  ibrav = 0, nat = 10, ntyp = 4
/
ATOMIC_SPECIES
Pr 140.91 Pr.upf
C 12.01 C.upf
Br 79.90 Br.upf
Ho 164.93 Ho.upf
ATOMIC_POSITIONS crystal
Pr 0.0016 0.0016 0.7936
Pr 0.9984 0.9984 0.2064
C 0.5000 0.5000 0.0000
Br 0.8311 0.8311 0.6793
Br 0.5000 0.5000 0.5000
Br 0.1689 0.1689 0.3207
Br 0.8251 0.8251 0.1497
Br 0.1749 0.1749 0.8503
Ho 0.6362 0.6362 0.0701
Ho 0.3638 0.3638 0.9299
CELL_PARAMETERS angstrom
9.0339 -1.9593 0.0000
9.0339 1.9593 0.0000
-1.8813 0.0000 8.2971
! crystal system: monoclinic
! energy relative to the lowest polymorph listed for this composition: 0.000 eV per atom

Record 4
! HoTmC2Br2 (PBE-GGA, optimized geometry); values from VASP
&SYSTEM
  ibrav = 0, nat = 6, ntyp = 4
/
ATOMIC_SPECIES
Tm 168.93 Tm.upf
Br 79.90 Br.upf
Ho 164.93 Ho.upf
C 12.01 C.upf
ATOMIC_POSITIONS crystal
Tm 0.1451 0.1451 0.6309
Br 0.8214 0.8214 0.8021
Br 0.1771 0.1771 0.1949
Ho 0.8555 0.8555 0.3685
C 0.4252 0.4252 0.5362
C 0.5757 0.5757 0.4673
CELL_PARAMETERS angstrom
3.4857 -1.8689 0.0000
3.4857 1.8689 0.0000
-0.9242 0.0000 10.8608
! crystal system: monoclinic
! uncorrected energy: -0.4566 Ry per atom